VASP calculation (PBE) on an optimized crystal structure of Mg2HgH.

Structure (POSCAR):
```
Mg2HgH
1.0
6.003 0.000 0.000
0.000 6.003 0.000
-0.020 0.000 7.694
Mg Hg H
8 4 4
direct
0.000 0.250 0.000
0.000 0.750 0.000
0.249 0.000 0.667
0.251 0.500 0.333
0.500 0.250 0.000
0.500 0.750 0.000
0.749 0.500 0.667
0.751 0.000 0.333
0.249 0.500 0.701
0.251 0.000 0.299
0.749 0.000 0.701
0.751 0.500 0.299
0.250 0.000 0.934
0.250 0.500 0.066
0.750 0.000 0.066
0.750 0.500 0.934
```

Energy above the most stable polymorph in this dataset   0.06 eV/f.u.
Space group   C2/m
Size of the total moment   0.000 μB per cell
E_tot   -27.7 eV per cell
Density   5.99 g/cm3
V   277 Å³/cell